Crystalline Ac6TmCd5 at its relaxed geometry, computed with PBE.

Values from the calculation:
The raw total energy comes out at -3.016 eV per atom. The calculation puts the formation energy at -241 kJ/mol of formula units. As for the theoretical density: 8.4 g/cm³. The value obtained for the total magnetization is 0.00 μB per formula unit.

Cell lengths 5.7454, 8.2372, 9.1848 Å; angles 90.00, 108.24, 90.00 degrees
Closest atoms and distances in Å follow each position.
Space group P2/m (No. 10)
One atom of each set of equivalent atoms:
Ac (0.0000, 0.2363, 0.0000)  6 Cd 3.47-3.51, 2 Tm 3.60
Ac (0.3312, 0.2502, 0.6605)  7 Cd 3.51-3.69, 1 Tm 3.61
Tm (0.5000, 0.5000, 0.0000)  8 Ac 3.60-3.61, 4 Cd 3.94-3.95
Cd (0.1538, 0.5000, 0.3100)  8 Ac 3.47-3.69
Cd (0.1647, 0.0000, 0.3342)  8 Ac 3.51-3.54
Cd (0.5000, 0.0000, 0.0000)  8 Ac 3.47-3.61